1.
## SrSc2CdO (GGA-PBE)

Data for a relaxed structure of SrSc2CdO.

Unit cell a=4.5530 b=4.5530 c=5.0857 alpha=90.00 beta=90.00 gamma=90.00
Element x y z (fractional)
Cd 0.5000 0.5000 0.5000
O 0.0000 0.0000 0.0000
Sr 0.0000 0.0000 0.5000
Sc 0.0000 0.5000 0.0000
Sc 0.5000 0.0000 0.0000

## Properties
Uncorrected formation energy (eV per atom): -1.141

---

2.
## Sr2ScCdO (GGA-PBE)

Data for a relaxed structure of Sr2ScCdO.

Unit cell a=5.5791 b=5.5791 c=4.1645 alpha=90.00 beta=90.00 gamma=90.00
Element x y z (fractional)
Sc 0.0000 0.0000 0.5000
O 0.0000 0.0000 0.0000
Cd 0.5000 0.5000 0.5000
Sr 0.5000 0.0000 0.0000
Sr 0.0000 0.5000 0.0000

## Properties
Uncorrected formation energy (eV per atom): -1.195

---

3.
## TbSc2CdO (GGA-PBE)

Data for a relaxed structure of TbSc2CdO.

Unit cell a=4.7411 b=4.5122 c=4.5122 alpha=90.00 beta=90.00 gamma=90.00
Element x y z (fractional)
Tb 0.5000 0.0000 0.0000
Sc 0.0000 0.0000 0.5000
Sc 0.0000 0.5000 0.0000
Cd 0.5000 0.5000 0.5000
O 0.0000 0.0000 0.0000

## Properties
Uncorrected formation energy (eV per atom): -1.350

---

4.
## Tb2ScCdO (GGA-PBE)

Data for a relaxed structure of Tb2ScCdO.

Unit cell a=4.4970 b=4.8114 c=4.8114 alpha=90.00 beta=90.00 gamma=90.00
Element x y z (fractional)
Cd 0.5000 0.5000 0.5000
Tb 0.0000 0.5000 0.0000
Tb 0.0000 0.0000 0.5000
O 0.0000 0.0000 0.0000
Sc 0.5000 0.0000 0.0000

## Properties
Uncorrected formation energy (eV per atom): -1.333

---

5.
## ScCdTc2O8 (GGA-PBE)

Data for a relaxed structure of ScCdTc2O8.

Unit cell a=5.9247 b=5.9247 c=7.5668 alpha=90.00 beta=90.00 gamma=120.00
Element x y z (fractional)
Sc 0.0000 0.0000 0.5000
O 0.3333 0.6667 0.9607
O 0.8314 0.6628 0.3418
O 0.6667 0.3333 0.0393
O 0.3372 0.1686 0.3418
O 0.1686 0.3372 0.6582
O 0.6628 0.8314 0.6582
O 0.8314 0.1686 0.3418
O 0.1686 0.8314 0.6582
Tc 0.6667 0.3333 0.2679
Tc 0.3333 0.6667 0.7321
Cd 0.0000 0.0000 0.0000

## Properties
Uncorrected formation energy (eV per atom): -1.641

---

6.
## Sc2CdTeO8 (GGA-PBE)

Data for a relaxed structure of Sc2CdTeO8.

Unit cell a=4.8202 b=4.8189 c=6.6404 alpha=90.00 beta=90.00 gamma=91.24
Last column: magnetic moment on the atom in μB.
Element x y z (fractional)
O 0.3236 0.3225 0.5000  0.25
O 0.1925 0.8065 0.7859  0.10
O 0.2904 0.2894 0.0000  0.09
O 0.8075 0.1935 0.7859  0.10
O 0.6764 0.6775 0.5000  0.25
O 0.8075 0.1935 0.2141  0.10
O 0.7096 0.7106 0.0000  0.09
O 0.1925 0.8065 0.2141  0.10
Sc 0.5000 0.5000 0.2457  -0.02
Sc 0.5000 0.5000 0.7543  -0.02
Te 0.0000 0.0000 0.0000  -0.01
Cd 0.0000 0.0000 0.5000  0.06

## Properties
Uncorrected formation energy (eV per atom): -1.828

---

7.
## Sc12TlCd4O3 (GGA-PBE)

Data for a relaxed structure of Sc12TlCd4O3.

Unit cell a=8.1192 b=8.1192 c=8.1192 alpha=109.47 beta=109.47 gamma=109.47
Element x y z (fractional)
Sc 0.7500 0.2500 0.5000
Sc 0.0000 0.7202 0.7202
Sc 0.2798 0.2798 0.0000
Sc 0.2500 0.5000 0.7500
Sc 0.5000 0.7500 0.2500
Sc 0.2500 0.7500 0.5000
Sc 0.7202 0.0000 0.7202
Sc 0.7500 0.5000 0.2500
Sc 0.2798 0.0000 0.2798
Sc 0.0000 0.2798 0.2798
Sc 0.7202 0.7202 0.0000
Sc 0.5000 0.2500 0.7500
O 0.0000 0.5000 0.5000
O 0.5000 0.0000 0.5000
O 0.5000 0.5000 0.0000
Cd 0.5000 0.0000 0.0000
Cd 0.0000 0.0000 0.5000
Cd 0.0000 0.5000 0.0000
Cd 0.5000 0.5000 0.5000
Tl 0.0000 0.0000 0.0000

## Properties
Uncorrected formation energy (eV per atom): -0.872

---

8.
## ScUCd2O6 (GGA-PBE)

Data for a relaxed structure of ScUCd2O6.

Unit cell a=5.6275 b=5.7823 c=8.2319 alpha=90.00 beta=90.11 gamma=90.00
Last column: magnetic moment on the atom in μB.
Element x y z (fractional)
Sc 0.0000 0.5000 0.5000  -0.01
Sc 0.5000 0.0000 0.0000  -0.01
U 0.5000 0.0000 0.5000  1.04
U 0.0000 0.5000 0.0000  1.04
O 0.8882 0.5577 0.2533  -0.01
O 0.6838 0.3094 0.9400  -0.02
O 0.3162 0.6906 0.0600  -0.02
O 0.6118 0.0577 0.2467  -0.01
O 0.3136 0.6881 0.4397  -0.02
O 0.6864 0.3119 0.5603  -0.02
O 0.8162 0.8094 0.5600  -0.02
O 0.8136 0.8119 0.9397  -0.02
O 0.1838 0.1906 0.4400  -0.02
O 0.3882 0.9423 0.7533  -0.01
O 0.1118 0.4423 0.7467  -0.01
O 0.1864 0.1881 0.0603  -0.02
Cd 0.9936 0.0434 0.7503  0.00
Cd 0.5064 0.5434 0.7497  0.00
Cd 0.0064 0.9566 0.2497  0.00
Cd 0.4936 0.4566 0.2503  0.00

## Properties
Uncorrected formation energy (eV per atom): -2.427

---

Magnetization, respectively: 0.0 0.0 0.0 0.0 0.0 1.3 0.0 2.0 μB per cell.
E_tot, respectively: -5.1845 -4.3087 -5.9833 -5.6260 -7.2781 -6.5271 -5.7159 -7.3468 eV per atom.